No. 1
V12H5Ru3: relaxed, GGA-PBE.

Cell and atoms, written as extended XYZ:
```
80
Lattice="-6.170 6.170 6.170 6.170 -6.170 6.170 6.170 6.170 -6.170" Properties=species:S:1:pos:R:3 pbc="T T T"
V 1.726 -0.467 0.583
V 7.530 3.668 -3.552
V 7.896 0.467 0.583
V 7.530 -2.502 3.552
V 5.703 -0.583 1.726
V 9.723 -1.359 2.502
V 0.583 1.726 -0.467
V 8.672 2.618 -1.359
V 3.668 3.552 -1.359
V 5.587 1.726 0.467
V -0.467 0.583 1.726
V 3.552 -1.359 3.668
V 5.703 5.587 -1.726
V 3.552 1.359 2.502
V 3.668 -3.552 7.530
V 5.587 -1.726 5.703
V 2.502 3.552 1.359
V 6.754 4.445 0.467
V 3.552 7.530 -2.502
V 5.703 0.583 4.445
V 1.726 5.703 -0.583
V 7.530 2.502 2.618
V 1.359 2.502 3.552
V 1.726 0.467 5.587
V 4.445 5.703 0.583
V 4.811 3.668 2.618
V -1.359 3.668 3.552
V 4.445 0.467 6.754
V 0.467 5.587 1.726
V 2.618 -1.359 8.672
V -0.583 1.726 5.703
V 3.668 2.618 4.811
V 0.583 7.896 0.467
V 2.502 9.723 -1.359
V 2.618 4.811 3.668
V 0.467 0.583 7.896
V 2.618 7.530 2.502
V 6.638 5.587 4.445
V 0.583 4.445 5.703
V 2.502 2.618 7.530
V -2.502 3.552 7.530
V 5.587 4.445 6.638
V -3.552 7.530 3.668
V 0.467 6.754 4.445
V -1.359 8.672 2.618
V -1.726 5.703 5.587
V -1.359 2.502 9.723
V 4.445 6.638 5.587
H 0.000 0.000 0.000
H 3.085 3.085 -3.085
H 3.085 -3.085 3.085
H 6.170 0.000 0.000
H 9.255 1.543 0.000
H 6.170 -3.085 4.628
H 4.628 6.170 -3.085
H 4.628 0.000 3.085
H 3.085 4.628 0.000
H 6.170 3.085 1.543
H -3.085 3.085 3.085
H 0.000 6.170 0.000
H 0.000 0.000 6.170
H 3.085 3.085 3.085
H 0.000 3.085 4.628
H 3.085 1.543 6.170
H 1.543 6.170 3.085
H 1.543 0.000 9.255
H 0.000 9.255 1.543
H -3.085 4.628 6.170
Ru 3.085 1.543 0.000
Ru 6.170 3.085 -1.543
Ru 1.543 0.000 3.085
Ru 7.713 0.000 3.085
Ru 0.000 3.085 1.543
Ru 3.085 -1.543 6.170
Ru 3.085 7.713 0.000
Ru 6.170 3.085 4.628
Ru -1.543 6.170 3.085
Ru 4.628 6.170 3.085
Ru 0.000 3.085 7.713
Ru 3.085 4.628 6.170
```

Computed properties:
The calculation puts the magnetic moment at 0.00 μB per formula unit. As for the uncorrected energy: -600.5 eV per cell. Its space-group type is Ia-3d, No. 230.

---

No. 2
Be2SiBr: relaxed, GGA-PBE.

Cell and atoms, written as extended XYZ:
```
4
Lattice="4.596 0.000 0.000 0.000 4.596 0.000 0.000 0.000 2.855" Properties=species:S:1:pos:R:3 pbc="T T T"
Be 0.000 2.298 0.000
Be 2.298 0.000 0.000
Si 0.000 0.000 1.427
Br 2.298 2.298 1.427
```

Computed properties:
The calculation puts the magnetic moment at 0.00 μB per formula unit. The calculation puts the uncorrected formation energy at 845.0 meV per atom. Its space-group type is P4/mmm, No. 123. For the polymorph energy (0 for the lowest one), the calculation gives 554 meV per atom.

---

No. 3
Ba2Mg2Cd5: relaxed, GGA-PBE.

Cell and atoms, written as extended XYZ:
```
9
Lattice="5.327 0.000 0.000 0.000 5.327 0.000 0.000 0.000 9.662" Properties=species:S:1:pos:R:3 pbc="T T T"
Ba 0.000 0.000 0.000
Ba 0.000 0.000 4.831
Mg 2.664 2.664 1.517
Mg 2.664 2.664 8.145
Cd 0.000 2.664 2.658
Cd 0.000 2.664 7.004
Cd 2.664 0.000 2.658
Cd 2.664 0.000 7.004
Cd 2.664 2.664 4.831
```

Computed properties:
The calculation puts the magnetic moment at 0.00 μB per formula unit. Its space-group type is P4/mmm, No. 123. Its formation energy from the elements is -0.16 eV/atom.